Record 1
Material: Ce4Nd3PuS8
Method: DFT, PBE
State: optimized geometry

Computed properties:
- raw formation energy (eV per formula unit) = -32.13
- crystal system = trigonal
- volume (Å³ per cell) = 371

The structure in POSCAR format:
```
Ce4Nd3PuS8
1.0
4.034 2.329 6.589
-4.034 2.329 6.589
0.000 -4.658 6.589
Ce Nd Pu S
4 3 1 8
Cartesian
0.000 0.000 0.000
-2.017 -1.164 6.589
-2.017 1.164 13.177
0.000 2.329 6.589
-4.034 0.000 9.883
-2.017 1.164 3.294
2.017 1.164 3.294
0.000 0.000 9.883
0.000 0.000 4.964
0.000 -2.296 8.237
-1.988 1.148 8.237
-1.988 -1.148 11.529
1.988 1.148 8.237
1.988 -1.148 11.529
0.000 2.296 11.529
0.000 0.000 14.802
```

Record 2
Material: Ce3NdPu2S6
Method: DFT, PBE
State: optimized geometry

Computed properties:
- raw formation energy (eV per formula unit) = -23.42
- crystal system = monoclinic
- volume (Å³ per cell) = 273

The structure in POSCAR format:
```
Ce3NdPu2S6
1.0
3.468 -6.008 0.000
3.468 6.008 0.000
-2.313 0.000 6.559
Ce Nd Pu S
3 1 2 6
Cartesian
0.000 0.000 0.000
3.468 1.980 0.000
3.468 -1.980 0.000
2.311 0.000 3.279
2.311 4.003 3.279
2.311 -4.003 3.279
1.133 2.040 1.663
-0.046 0.000 4.885
1.133 -2.040 1.663
3.489 2.040 4.896
4.668 0.000 1.673
3.489 -2.040 4.896
```

Record 3
Material: Ce3Nd2PuS6
Method: DFT, PBE
State: optimized geometry

Computed properties:
- raw formation energy (eV per formula unit) = -23.96
- crystal system = monoclinic
- volume (Å³ per cell) = 277

The structure in POSCAR format:
```
Ce3Nd2PuS6
1.0
8.792 -2.011 0.000
8.792 2.011 0.000
-1.877 0.000 7.847
Ce Nd Pu S
3 2 1 6
Cartesian
0.000 0.000 0.000
4.592 0.000 5.215
11.116 0.000 2.632
5.563 0.000 1.323
10.145 0.000 6.524
-0.938 0.000 3.923
1.806 0.000 4.555
2.765 0.000 0.670
7.371 0.000 5.839
8.337 0.000 2.008
12.943 0.000 7.177
13.902 0.000 3.292
```

Record 4
Material: Ce2NdPuSb4
Method: DFT, PBE
State: optimized geometry

Computed properties:
- raw formation energy (eV per formula unit) = -7.78
- crystal system = monoclinic
- volume (Å³ per cell) = 256

The structure in POSCAR format:
```
Ce2NdPuSb4
1.0
7.764 0.000 0.000
0.000 4.493 0.000
-2.602 0.000 7.331
Ce Nd Pu Sb
2 1 1 4
Cartesian
0.000 0.000 0.000
-1.301 2.247 3.666
2.581 0.000 3.666
3.882 2.247 0.000
1.284 2.247 1.807
-0.014 0.000 5.522
5.175 0.000 1.809
3.878 2.247 5.524
```

Record 5
Material: CeNd2PuSb4
Method: DFT, PBE
State: optimized geometry

Computed properties:
- raw formation energy (eV per formula unit) = -8.05
- crystal system = monoclinic
- volume (Å³ per cell) = 257

The structure in POSCAR format:
```
CeNd2PuSb4
1.0
7.775 0.000 0.000
0.000 4.495 0.000
-2.598 0.000 7.347
Ce Nd Pu Sb
1 2 1 4
Cartesian
0.000 0.000 0.000
-1.299 2.248 3.674
2.588 0.000 3.674
3.888 2.248 0.000
1.300 2.248 1.799
0.004 0.000 5.558
5.173 0.000 1.789
3.877 2.248 5.548
```

Record 6
Material: Ce3Nd4PuSe8
Method: DFT, PBE
State: optimized geometry

Computed properties:
- raw formation energy (eV per formula unit) = -28.82
- crystal system = trigonal
- volume (Å³ per cell) = 422

The structure in POSCAR format:
```
Ce3Nd4PuSe8
1.0
4.217 2.435 6.855
-4.217 2.435 6.855
0.000 -4.869 6.855
Ce Nd Pu Se
3 4 1 8
Cartesian
-2.108 -1.217 6.855
-2.108 1.217 13.710
0.000 2.435 6.855
-4.217 0.000 10.283
-2.108 1.217 3.427
2.108 1.217 3.428
0.000 0.000 10.283
0.000 0.000 0.000
0.000 -2.451 8.540
-2.123 1.226 8.540
-2.123 -1.226 12.025
0.000 0.000 5.156
0.000 0.000 15.409
2.123 1.226 8.540
2.123 -1.226 12.025
0.000 2.451 12.025
```

Record 7
Material: Ce2NdPuSe4
Method: DFT, PBE
State: optimized geometry

Computed properties:
- raw formation energy (eV per formula unit) = -14.06
- crystal system = monoclinic
- volume (Å³ per cell) = 209

The structure in POSCAR format:
```
Ce2NdPuSe4
1.0
7.275 0.000 0.000
0.000 4.185 0.000
-2.405 0.000 6.879
Ce Nd Pu Se
2 1 1 4
Cartesian
0.000 0.000 0.000
3.637 2.093 0.000
-1.203 2.093 3.440
2.435 0.000 3.440
0.042 0.000 5.155
1.246 2.093 1.746
3.624 2.093 5.134
4.827 0.000 1.724
```

Record 8
Material: CeNd3Pu2Se6
Method: DFT, PBE
State: optimized geometry

Computed properties:
- raw formation energy (eV per formula unit) = -20.99
- crystal system = monoclinic
- volume (Å³ per cell) = 314

The structure in POSCAR format:
```
CeNd3Pu2Se6
1.0
3.626 -6.281 0.000
3.626 6.281 0.000
-2.416 0.000 6.898
Ce Nd Pu Se
1 3 2 6
Cartesian
0.000 0.000 0.000
2.418 4.192 3.449
2.418 0.000 3.449
2.418 -4.192 3.449
3.626 2.097 0.000
3.626 -2.097 0.000
1.220 2.112 1.684
0.023 0.000 5.216
1.220 -2.112 1.684
3.616 2.112 5.213
4.813 0.000 1.682
3.616 -2.112 5.213
```

Record 9
Material: TbCeNdPu
Method: DFT, PBE
State: optimized geometry

Computed properties:
- ΔH_f (0 K) (eV/atom) = 0.28
- crystal system = cubic
- volume (Å³ per cell) = 126

The structure in POSCAR format:
```
TbCeNdPu
1.0
0.000 3.982 3.982
3.982 0.000 3.982
3.982 3.982 0.000
Tb Ce Nd Pu
1 1 1 1
Cartesian
0.000 0.000 0.000
5.973 5.973 5.973
3.982 3.982 3.982
1.991 1.991 1.991
```

Record 10
Material: CeNd2PuTc2
Method: DFT, PBE
State: optimized geometry

Computed properties:
- ΔH_f (0 K) (eV/atom) = 0.07
- crystal system = orthorhombic
- volume (Å³ per cell) = 320

The structure in POSCAR format:
```
CeNd2PuTc2
1.0
-3.595 6.224 3.573
3.595 -6.224 3.573
3.595 6.224 -3.573
Ce Nd Pu Tc
2 4 2 4
Cartesian
0.000 0.000 1.787
0.000 0.000 5.360
5.090 2.452 0.000
1.495 3.772 0.000
2.101 2.452 3.573
-1.495 3.772 3.573
3.595 0.000 1.787
0.000 6.224 1.787
1.856 0.777 0.000
1.856 -0.777 3.573
1.739 7.002 0.000
1.739 5.447 3.573
```

Record 11
Material: CeNd3Pu2Te6
Method: DFT, PBE
State: optimized geometry

Computed properties:
- raw formation energy (eV per formula unit) = -15.84
- crystal system = monoclinic
- volume (Å³ per cell) = 381

The structure in POSCAR format:
```
CeNd3Pu2Te6
1.0
3.860 -6.685 0.000
3.860 6.685 0.000
-2.573 0.000 7.380
Ce Nd Pu Te
1 3 2 6
Cartesian
0.000 0.000 0.000
2.574 4.470 3.690
2.574 0.000 3.690
2.574 -4.470 3.690
3.860 2.234 0.000
3.860 -2.234 0.000
1.300 2.249 1.817
0.026 0.000 5.571
1.300 -2.249 1.817
3.847 2.249 5.563
5.121 0.000 1.809
3.847 -2.249 5.563
```

Record 12
Material: Ce2NdPu3Te6
Method: DFT, PBE
State: optimized geometry

Computed properties:
- raw formation energy (eV per formula unit) = -14.89
- crystal system = monoclinic
- volume (Å³ per cell) = 378

The structure in POSCAR format:
```
Ce2NdPu3Te6
1.0
9.737 -2.228 0.000
9.737 2.228 0.000
-2.032 0.000 8.702
Ce Nd Pu Te
2 1 3 6
Cartesian
2.564 0.000 2.915
14.877 0.000 5.787
9.737 0.000 0.000
1.547 0.000 7.265
8.720 0.000 4.351
15.894 0.000 1.437
-1.500 0.000 6.495
4.594 0.000 7.995
5.669 0.000 3.584
11.772 0.000 5.118
12.847 0.000 0.707
18.941 0.000 2.207
```

Question: volume of number 3 (Ce3Nd2PuS6)?
Answer: 277 Å³ per cell

Question: The highest volume belongs to which entry?
Answer: Ce3Nd4PuSe8